[1]
BaLi3Pu4S12 | PBE | optimized geometry

Summary:
**N(E_F)**: 25.5 states/eV/f.u.
**Raw formation energy**: -1.25 eV/atom
**VASP energy**: -6.979 eV per atom

```
BaLi3Pu4S12
1.0
-4.9223 4.9223 4.9223
4.9223 -4.9223 4.9223
4.9223 4.9223 -4.9223
Ba Li Pu S
1 3 4 12
Direct
0.0000 0.0000 0.0000
0.0000 0.5000 0.5000
0.5000 0.0000 0.5000
0.5000 0.5000 0.0000
0.0000 0.0000 0.5000
0.0000 0.5000 0.0000
0.5000 0.0000 0.0000
0.5000 0.5000 0.5000
0.1257 0.8238 0.3019
0.1762 0.3019 0.4781
0.1762 0.6981 0.8743
0.3019 0.1257 0.8238
0.3019 0.4781 0.1762
0.4781 0.1762 0.3019
0.5219 0.8238 0.6981
0.6981 0.5219 0.8238
0.6981 0.8743 0.1762
0.8238 0.3019 0.1257
0.8238 0.6981 0.5219
0.8743 0.1762 0.6981
```

---

[2]
BaLi2PuSb2 | PBE | optimized geometry

Summary:
**N(E_F)**: 16.4 states/eV/f.u.
**Raw formation energy**: -0.74 eV/atom
**VASP energy**: -5.464 eV per atom

```
BaLi2PuSb2
1.0
4.8469 0.0000 0.0000
-2.4234 4.1975 0.0000
0.0000 0.0000 8.2323
Ba Li Pu Sb
1 2 1 2
Direct
0.0000 0.0000 0.0000
0.3333 0.6667 0.6849
0.6667 0.3333 0.3151
0.0000 0.0000 0.5000
0.3333 0.6667 0.2863
0.6667 0.3333 0.7137
```

---

[3]
BaLiPuSe3 | PBE | optimized geometry

Summary:
**N(E_F)**: 11.5 states/eV/f.u.
**Raw formation energy**: -1.61 eV/atom
**VASP energy**: -6.383 eV per atom

```
BaLiPuSe3
1.0
8.9113 0.0000 0.0000
0.0000 4.3030 0.0000
-2.3407 0.0000 9.0237
Ba Li Pu Se
2 2 2 6
Direct
0.1921 0.2500 0.2413
0.8079 0.7500 0.7587
0.0862 0.2500 0.5899
0.9138 0.7500 0.4101
0.3292 0.7500 0.8415
0.6708 0.2500 0.1585
0.1142 0.2500 0.8673
0.2086 0.7500 0.5210
0.4499 0.7500 0.1628
0.5501 0.2500 0.8372
0.7914 0.2500 0.4790
0.8858 0.7500 0.1327
```

---

[4]
Ba2Li2PuSe4 | PBE | optimized geometry

Summary:
**N(E_F)**: 14.8 states/eV/f.u.
**Raw formation energy**: -1.57 eV/atom
**VASP energy**: -5.566 eV per atom

```
Ba2Li2PuSe4
1.0
7.8824 -2.1420 0.0000
7.8824 2.1420 0.0000
-2.6073 0.0000 7.2145
Ba Li Pu Se
2 2 1 4
Direct
0.1327 0.1327 0.0623
0.8673 0.8673 0.9377
0.3198 0.3198 0.5026
0.6802 0.6802 0.4974
0.0000 0.0000 0.5000
0.2071 0.2071 0.6981
0.4789 0.4789 0.7483
0.5211 0.5211 0.2517
0.7929 0.7929 0.3019
```

---

[5]
BaLiPu2Te4 | PBE | optimized geometry

Summary:
**N(E_F)**: 28.0 states/eV/f.u.
**Raw formation energy**: -1.24 eV/atom
**VASP energy**: -6.872 eV per atom

```
BaLiPu2Te4
1.0
2.2930 -7.5070 0.0000
2.2930 7.5070 0.0000
0.0000 0.0000 15.6040
Ba Li Pu Te
2 2 4 8
Direct
0.1179 0.8821 0.7500
0.8821 0.1179 0.2500
0.1514 0.8486 0.2500
0.8486 0.1514 0.7500
0.3688 0.6312 0.5595
0.3688 0.6312 0.9405
0.6312 0.3688 0.0595
0.6312 0.3688 0.4405
0.0000 0.0000 0.0000
0.0000 0.0000 0.5000
0.2663 0.7337 0.1149
0.2663 0.7337 0.3851
0.4442 0.5558 0.7500
0.5558 0.4442 0.2500
0.7337 0.2663 0.6149
0.7337 0.2663 0.8851
```

---

[6]
RbBa2Li2 | PBE | optimized geometry

Summary:
**N(E_F)**: 7.2 states/eV/f.u.
**VASP energy**: -1.573 eV per atom
**Formation enthalpy at 0 K**: 155 meV/atom

```
RbBa2Li2
1.0
10.9793 0.0000 0.0000
0.0000 10.9793 0.0000
0.0000 0.0000 4.1784
Rb Ba Li
2 4 4
Direct
0.0000 0.0000 0.0000
0.5000 0.5000 0.0000
0.1334 0.3666 0.0000
0.3666 0.8666 0.0000
0.6334 0.1334 0.0000
0.8666 0.6334 0.0000
0.1571 0.6571 0.5000
0.3429 0.1571 0.5000
0.6571 0.8429 0.5000
0.8429 0.3429 0.5000
```